Record 1
# Sr2AlPd2

A relaxed Sr2AlPd2 crystal (GGA-PBE, the Open Quantum Materials Database).

a b c (Å): 8.389 6.024 9.401
angles (deg): 61.35 39.06 79.58
Positions (direct):
Sr  0.118  0.882  0.283
Sr  0.533  0.967  0.368
Sr  0.882  0.118  0.717
Sr  0.967  0.533  0.132
Al  0.273  0.273  0.727
Al  0.523  0.523  0.977
Pd  0.454  0.532  0.290
Pd  0.527  0.960  0.718
Pd  0.532  0.454  0.723
Pd  0.960  0.527  0.796

=====

Record 2
# LaNdSi2I2

A relaxed LaNdSi2I2 crystal (GGA-PBE, the Open Quantum Materials Database).

## Properties
magnetic moment: 0.00 μB per formula unit

a b c (Å): 4.214 4.214 12.740
angles (deg): 90.00 90.00 120.00
Positions (direct):
La  0.000  0.000  0.000
Nd  0.000  0.000  0.317
Si  0.333  0.667  0.166
Si  0.667  0.333  0.156
I  0.333  0.667  0.828
I  0.667  0.333  0.484

=====

Record 3
# FeSiMo4N2

A relaxed FeSiMo4N2 crystal (GGA-PBE, the Open Quantum Materials Database).

## Properties
magnetic moment: 2.14 μB per formula unit

a b c (Å): 2.857 2.857 14.007
angles (deg): 90.00 90.00 120.00
Positions (direct):
Fe  0.000  0.000  0.000
Si  0.667  0.333  0.500
Mo  0.000  0.000  0.353
Mo  0.000  0.000  0.647
Mo  0.667  0.333  0.154
Mo  0.667  0.333  0.846
N  0.333  0.667  0.253
N  0.333  0.667  0.747

=====

Record 4
# ErAgSn

A relaxed ErAgSn crystal (GGA-PBE, the Open Quantum Materials Database).

## Properties
magnetic moment: 0.00 μB per formula unit

a b c (Å): 6.852 6.852 6.852
angles (deg): 90.00 90.00 90.00
Positions (direct):
Er  0.000  0.000  0.000
Er  0.000  0.500  0.500
Er  0.500  0.000  0.500
Er  0.500  0.500  0.000
Ag  0.000  0.000  0.500
Ag  0.000  0.500  0.000
Ag  0.500  0.000  0.000
Ag  0.500  0.500  0.500
Sn  0.250  0.250  0.750
Sn  0.250  0.750  0.250
Sn  0.750  0.250  0.250
Sn  0.750  0.750  0.750

=====

| no. | calculated volume (A^3/atom) | E_tot (eV per atom) |
| --- | --- | --- |
| 1 | 24.650 | -4.1725 |
| 2 | 32.652 | -5.0425 |
| 3 | 12.379 | -9.2122 |
| 4 | 26.814 | -4.1367 |